A plane-wave DFT calculation with GGA+U was carried out for a relaxed MnCd2F8 crystal.

a = 6.000 Å, b = 6.000 Å, c = 4.546 Å
α = 90.15°, β = 90.15°, γ = 73.08°
Fractional positions:
Mn (0.000, 0.000, 0.000)
Cd (0.364, 0.364, 0.240)
Cd (0.636, 0.636, 0.760)
F (0.080, 0.715, 0.189)
F (0.135, 0.135, 0.289)
F (0.285, 0.920, 0.811)
F (0.401, 0.401, 0.738)
F (0.599, 0.599, 0.262)
F (0.715, 0.080, 0.189)
F (0.865, 0.865, 0.711)
F (0.920, 0.285, 0.811)

Values from the calculation:
Total energy = -4.364 eV/atom
Space-group type = No. 12